# PBE+U PuNi2PO6, optimized geometry
# VASP energy: -6.9726 eV/atom
# DOS at the Fermi energy: 6.0 states/eV/f.u.
data_PuNi2PO6
_chemical_formula_sum 'Pu1 Ni2 P1 O6'
_cell_length_a 5.5384
_cell_length_b 5.5384
_cell_length_c 4.2050
_cell_angle_alpha 90.00
_cell_angle_beta 90.00
_cell_angle_gamma 90.00
_space_group_name_H-M_alt 'P 4 m m'
_space_group_IT_number 99
_space_group_name_Hall 'P 4 -2'
loop_
_atom_site_label
_atom_site_fract_x
_atom_site_fract_y
_atom_site_fract_z
Pu1 0.0000 0.0000 0.0000
Ni1 0.0000 0.5000 0.1814
P1 0.5000 0.5000 0.9794
O1 0.0000 0.0000 0.5170
O2 0.2882 0.2882 0.0988
O3 0.5000 0.5000 0.6253